LuBiAsO: optimized geometry, PBE.

Computed properties:
**Density**: 8.620 g cm⁻³
**Total moment**: 0.0 Bohr magnetons per cell
**Crystal system**: orthorhombic
**Raw total energy**: -5.74 eV per atom

Cell and atoms, written as POSCAR:
```
LuBiAsO
1.0
3.941 0.000 0.000
0.000 5.980 0.000
0.000 0.000 7.763
Lu Bi As O
2 2 2 2
Direct
0.000 0.155 0.000
0.000 0.845 0.500
0.500 0.353 0.610
0.500 0.647 0.110
0.000 0.295 0.354
0.000 0.705 0.854
0.500 0.234 0.943
0.500 0.766 0.443
```